Computed, not measured: CaCo3S after structural relaxation at the PBE level of DFT.

Geometry as POSCAR:
```
CaCo3S
1.0
4.587 0.000 0.000
0.000 4.587 0.000
0.000 0.000 4.587
Ca Co S
1 3 1
direct
0.000 0.000 0.000
0.000 0.000 0.500
0.000 0.500 0.000
0.500 0.000 0.000
0.500 0.500 0.500
```

Calculated values
theoretical density: 4.28 g cm⁻³
formation energy (no corrections): 2.007 eV per atom
space-group type: Pm-3m, No. 221
N(E_F): 2.257 states/eV/atom